{"formula": "SbIrPt2", "functional": "GGA-PBE", "state": "optimized geometry", "e_tot_ev_per_atom": -6.0532, "e_form_raw_ev_per_atom": 0.213, "lattice": [[3.041, 0.000, 0.000], [-1.520, 2.633, 0.000], [0.000, 0.000, 25.759]], "species": ["Sb", "Sb", "Sb", "Ir", "Ir", "Ir", "Pt", "Pt", "Pt", "Pt", "Pt", "Pt"], "fractional_positions": [[0.000, 0.000, 0.000], [0.333, 0.667, 0.667], [0.667, 0.333, 0.333], [0.000, 0.000, 0.254], [0.333, 0.667, 0.920], [0.667, 0.333, 0.587], [0.000, 0.000, 0.502], [0.000, 0.000, 0.749], [0.333, 0.667, 0.169], [0.333, 0.667, 0.416], [0.667, 0.333, 0.083], [0.667, 0.333, 0.836]]}